# Mg3ZnRh

Crystalline Mg3ZnRh at its relaxed geometry (PBE-GGA, the Alexandria database).

Density of states at the Fermi level   0.4448 states/eV/atom
V   185 Å³ per cell
Magnetic moment   0.0 μB/f.u.
ΔH_f (0 K)   -288 meV per atom

Cell lengths 5.5716, 4.3593, 7.6168 Å; angles 90.00, 90.05, 90.00 degrees
With the nearest neighbours (Å) after each atom.
Element x y z (fractional)
Mg 0.2145 0.2500 0.0560  3 Rh 2.65-2.87, 1 Zn 2.94, 1 Mg 2.95
Mg 0.2152 0.2500 0.4439  3 Rh 2.65-2.87, 1 Zn 2.94, 1 Mg 2.95
Mg 0.2543 0.7500 0.7498  2 Rh 2.63, 2 Zn 2.68
Mg 0.7457 0.2500 0.2502  2 Rh 2.63, 2 Zn 2.68
Mg 0.7848 0.7500 0.5561  3 Rh 2.65-2.87, 1 Zn 2.94, 1 Mg 2.95
Mg 0.7855 0.7500 0.9440  3 Rh 2.65-2.87, 1 Zn 2.94, 1 Mg 2.95
Zn 0.4648 0.7500 0.2497  1 Rh 2.53, 2 Mg 2.68
Zn 0.5352 0.2500 0.7503  1 Rh 2.53, 2 Mg 2.68
Rh 0.0114 0.7500 0.2503  1 Zn 2.53, 4 Mg 2.63-2.65
Rh 0.9886 0.2500 0.7497  1 Zn 2.53, 4 Mg 2.63-2.65



# Y5Ho3In2

Crystalline Y5Ho3In2 at its relaxed geometry (PBE-GGA, the Alexandria database).

Density of states at the Fermi level   1.3218 states/eV/atom
V   638 Å³ per cell
Magnetic moment   0.0 μB/f.u.
ΔH_f (0 K)   117 meV per atom

Cell lengths 10.6238, 10.6238, 10.6238 Å; angles 105.81, 84.56, 145.32 degrees
With the nearest neighbours (Å) after each atom.
Element x y z (fractional)
Y 0.1666 0.1229 0.2895  1 In 2.96
Y 0.2500 0.2500 0.0000  8 Y 3.17-3.44
Y 0.2500 0.5005 0.2505  2 In 3.15, 5 Y 3.17-3.47, 1 Ho 3.20
Y 0.2500 0.9995 0.7495  2 In 3.15, 5 Y 3.17-3.47, 1 Ho 3.20
Y 0.3334 0.6229 0.9563  1 In 2.96
Y 0.6666 0.3771 0.0437  1 In 2.96
Y 0.7500 0.0005 0.2505  2 In 3.15, 5 Y 3.17-3.47, 1 Ho 3.20
Y 0.7500 0.4995 0.7495  2 In 3.15, 5 Y 3.17-3.47, 1 Ho 3.20
Y 0.7500 0.7500 0.0000  8 Y 3.17-3.44
Y 0.8334 0.8771 0.7105  1 In 2.96
Ho 0.2214 0.3916 0.6129  3 In 3.33-3.40, 4 Y 3.45-3.63
Ho 0.2500 0.7500 0.5000  2 Ho 3.17, 2 Y 3.20, 4 In 3.27
Ho 0.2786 0.8916 0.1702  3 In 3.33-3.40, 4 Y 3.45-3.63
Ho 0.7214 0.1084 0.8298  3 In 3.33-3.40, 4 Y 3.45-3.63
Ho 0.7500 0.2500 0.5000  2 Ho 3.17, 2 Y 3.20, 4 In 3.27
Ho 0.7786 0.6084 0.3871  3 In 3.33-3.40, 4 Y 3.45-3.63
In 0.1452 0.6340 0.7792  3 Y 2.96-3.15, 2 Ho 3.27
In 0.3548 0.1340 0.4888  3 Y 2.96-3.15, 2 Ho 3.27
In 0.6452 0.8660 0.5112  3 Y 2.96-3.15, 2 Ho 3.27
In 0.8548 0.3660 0.2208  3 Y 2.96-3.15, 2 Ho 3.27